VASP calculation (GGA-PBE) on a geometry-optimized ErSi2Ni structure.

a = 4.088 Å, b = 4.351 Å, c = 7.787 Å
α = 90.00°, β = 90.00°, γ = 90.00°
Fractional positions:
1 Er 0.000 0.962 0.208
2 Er 0.000 0.038 0.708
3 Ni 0.500 0.307 0.355
4 Ni 0.500 0.693 0.855
5 Si 0.000 0.493 0.458
6 Si 0.500 0.806 0.479
7 Si 0.000 0.507 0.958
8 Si 0.500 0.194 0.979

Properties
M_tot (μB/atom): 0.001
Final energy (eV/atom): -5.70